Record 1
Material: YCo2Rh
Method: DFT, PBE-GGA
State: relaxed

Values from the calculation:
energy of formation from the pure elements = 165 meV per atom
spin magnetization = 0.806 μB/atom
crystal system = tetragonal

Cell lengths 3.957, 3.957, 9.612 Å; angles 78.12, 78.12, 90.00 degrees
Atoms (fractional coordinates):
Y 0.500 0.500 0.000
Y 0.250 0.750 0.500
Co 0.744 0.125 0.250
Co 0.006 0.625 0.250
Co 0.375 0.256 0.750
Co 0.875 0.994 0.750
Rh 0.000 0.000 0.000
Rh 0.750 0.250 0.500

Record 2
Material: Y6CoRh5
Method: DFT, PBE-GGA
State: relaxed

Values from the calculation:
energy of formation from the pure elements = -717 meV per atom
spin magnetization = 0.051 μB/atom
crystal system = orthorhombic

Cell lengths 4.840, 6.864, 7.657 Å; angles 90.00, 71.58, 90.00 degrees
Atoms (fractional coordinates):
Y 0.835 0.751 0.331
Y 0.835 0.249 0.331
Y 0.500 0.248 0.000
Y 0.500 0.752 0.000
Y 0.165 0.751 0.669
Y 0.165 0.249 0.669
Rh 0.667 0.500 0.665
Rh 0.333 0.000 0.333
Rh 0.000 0.500 0.000
Rh 0.667 0.000 0.667
Rh 0.333 0.500 0.335
Co 0.000 0.000 0.000

Record 3
Material: YCoRh2
Method: DFT, PBE-GGA
State: relaxed

Values from the calculation:
energy of formation from the pure elements = -94 meV per atom
spin magnetization = 0.505 μB/atom
crystal system = cubic

Cell lengths 4.527, 4.527, 4.527 Å; angles 60.00, 60.00, 60.00 degrees
Atoms (fractional coordinates):
Co 0.500 0.500 0.500
Rh 0.000 0.000 0.000
Rh 0.250 0.250 0.250
Y 0.750 0.750 0.750